Record 1
LiZr2Cd | PBE-GGA | relaxed

```
4
Lattice="3.273 0.000 0.000 0.000 4.453 0.000 0.000 0.000 5.704" Properties=species:S:1:pos:R:3 pbc="T T T"
Li 0.000 0.000 0.000
Zr 1.637 2.227 1.418
Zr 1.637 2.227 4.286
Cd 0.000 0.000 2.852
```

Results
DFT total energy, eV/atom: -4.883
SG: Pmmm, No. 47

Record 2
Li2ZrCd | PBE-GGA | relaxed

```
8
Lattice="9.891 0.000 0.000 0.000 2.850 0.000 -0.671 0.000 5.725" Properties=species:S:1:pos:R:3 pbc="T T T"
Li 0.000 0.000 0.000
Li 1.945 0.000 4.493
Li 4.945 1.425 0.000
Li 6.891 1.425 4.493
Zr 2.369 1.425 1.671
Zr 7.314 0.000 1.671
Cd -0.283 1.425 3.128
Cd 4.662 0.000 3.128
```

Results
DFT total energy, eV/atom: -3.214
SG: Cm, No. 8

Record 3
LiZrCd5 | PBE-GGA | relaxed

```
14
Lattice="6.563 0.000 0.000 0.000 7.539 0.000 0.000 0.000 6.579" Properties=species:S:1:pos:R:3 pbc="T T T"
Li 0.000 0.000 0.000
Li 3.281 3.770 0.000
Zr 0.000 3.770 3.290
Zr 3.281 0.000 3.290
Cd 0.000 3.770 0.000
Cd 1.641 1.885 1.720
Cd 1.641 1.885 4.859
Cd 1.641 5.654 1.720
Cd 1.641 5.654 4.859
Cd 3.281 0.000 0.000
Cd 4.922 1.885 1.720
Cd 4.922 1.885 4.859
Cd 4.922 5.654 1.720
Cd 4.922 5.654 4.859
```

Results
DFT total energy, eV/atom: -2.139
SG: Cmmm, No. 65

Record 4
LiZr2Cd6 | PBE-GGA | relaxed

```
9
Lattice="8.477 0.000 0.000 -4.238 7.341 0.000 0.000 0.000 3.087" Properties=species:S:1:pos:R:3 pbc="T T T"
Li 0.000 0.000 0.000
Zr 0.000 4.894 0.000
Zr 4.238 2.447 0.000
Cd -1.410 2.442 1.543
Cd -2.828 4.899 1.543
Cd 2.820 0.000 1.543
Cd 1.410 2.442 1.543
Cd 5.657 0.000 1.543
Cd 2.828 4.899 1.543
```

Results
DFT total energy, eV/atom: -2.845
SG: P6/mmm, No. 191

Record 5
LiZr2Cd | PBE-GGA | relaxed

```
8
Lattice="4.214 0.000 0.000 0.000 4.214 0.000 0.000 0.000 9.241" Properties=species:S:1:pos:R:3 pbc="T T T"
Li 0.000 0.000 0.000
Li 2.107 2.107 4.620
Zr 0.000 2.107 2.310
Zr 0.000 2.107 6.931
Zr 2.107 0.000 2.310
Zr 2.107 0.000 6.931
Cd 0.000 0.000 4.620
Cd 2.107 2.107 0.000
```

Results
DFT total energy, eV/atom: -4.907
SG: I4/mmm, No. 139

Record 6
LiZr2Cd | PBE-GGA | relaxed

```
8
Lattice="3.317 0.000 0.000 0.000 4.712 0.000 0.000 0.000 10.612" Properties=species:S:1:pos:R:3 pbc="T T T"
Li 0.000 0.000 0.000
Li 1.659 2.356 5.306
Zr 0.000 2.356 2.688
Zr 0.000 2.356 7.925
Zr 1.659 0.000 2.619
Zr 1.659 0.000 7.994
Cd 0.000 0.000 5.306
Cd 1.659 2.356 0.000
```

Results
DFT total energy, eV/atom: -4.936
SG: Immm, No. 71

Record 7
LiZrCd4 | PBE-GGA | relaxed

```
6
Lattice="3.033 0.000 0.000 0.000 4.894 0.000 -0.081 0.000 8.548" Properties=species:S:1:pos:R:3 pbc="T T T"
Li 0.000 0.000 0.000
Zr -0.041 2.447 4.274
Cd 1.461 2.447 1.396
Cd 1.475 0.000 2.840
Cd 1.477 0.000 5.707
Cd 1.491 2.447 7.152
```

Results
DFT total energy, eV/atom: -2.497
Energy above the lowest structure with this stoichiometry, meV per atom: 0
SG: P2/m, No. 10

Record 8
LiZrCd | PBE-GGA | relaxed

```
12
Lattice="3.582 0.000 0.000 0.000 4.675 0.000 0.000 0.000 14.886" Properties=species:S:1:pos:R:3 pbc="T T T"
Li 0.000 0.000 0.000
Li 0.000 2.338 7.443
Li 1.791 0.000 7.443
Li 1.791 2.338 0.000
Zr 0.000 0.000 10.079
Zr 0.000 2.338 2.636
Zr 1.791 0.000 2.636
Zr 1.791 2.338 10.079
Cd 0.000 0.000 5.182
Cd 0.000 2.338 12.625
Cd 1.791 0.000 12.625
Cd 1.791 2.338 5.182
```

Results
DFT total energy, eV/atom: -3.747
Energy above the lowest structure with this stoichiometry, meV per atom: 197
SG: Fmm2, No. 42

Number 1: magnetic moment 0.000 μB per atom, calculated density 6027 kg/m3. Number 2: magnetic moment 0.000 μB per atom, calculated density 4475 kg/m3. Number 3: magnetic moment 0.000 μB per atom, calculated density 6736 kg/m3. Number 4: magnetic moment 0.000 μB per atom, calculated density 7467 kg/m3. Number 5: magnetic moment 0.000 μB per atom, calculated density 6107 kg/m3. Number 6: magnetic moment 0.000 μB per atom, calculated density 6043 kg/m3. Number 7: magnetic moment 0.000 μB per atom, calculated density 7169 kg/m3. Number 8: magnetic moment 0.000 μB per atom, calculated density 5610 kg/m3.